[1]
First-principles (PBE) data for an optimized crystal structure of La5Pu3N8, as listed in Alexandria.

As for the density of states at the Fermi level: 67.68 states/eV/cell. Its crystal system is trigonal. As for the energy relative to the elements, uncorrected: -1272 meV/atom.

It has space group R-3m (No. 166, hexagonal axes), with a = 7.2565 Å, b = 7.2565 Å, c = 17.8316 Å, α = 90.00°, β = 90.00° and γ = 120.00°. Symmetry generates all atoms from La at (0.0000, 0.0000, 0.0000), La at (0.0000, 0.0000, 0.5000), La at (0.0000, 0.5000, 0.0000), Pu at (0.0000, 0.5000, 0.5000), N at (0.0000, 0.0000, 0.2403) and N at (0.0176, 0.5088, 0.7589).



[2]
First-principles (PBE) data for an optimized crystal structure of Sc5Ta, as listed in Alexandria.

As for the density of states at the Fermi level: 49.61 states/eV/cell. Its crystal system is cubic. Its energy above the most stable polymorph in this dataset is 0.426 eV per atom. The formation energy from the elements comes out at 499 meV/atom.

It has space group F-43m (No. 216), with a = 8.228 Å, b = 8.228 Å, c = 8.228 Å, α = 90.00°, β = 90.00° and γ = 90.00°. Symmetry generates all atoms from Sc at (0.000, 0.000, 0.000), Sc at (0.123, 0.123, 0.623) and Ta at (0.250, 0.250, 0.250).



[3]
First-principles (PBE) data for an optimized crystal structure of Co2BiP, as listed in Alexandria.

As for the density of states at the Fermi level: 16.42 states/eV/cell. Its crystal system is cubic. The formation energy from the elements comes out at 452 meV/atom.

It has space group Fm-3m (No. 225), with a = 6.262 Å, b = 6.262 Å, c = 6.262 Å, α = 90.00°, β = 90.00° and γ = 90.00°. Symmetry generates all atoms from Co at (0.250, 0.250, 0.250), Bi at (0.000, 0.000, 0.000) and P at (0.000, 0.000, 0.500).



[4]
First-principles (PBE) data for an optimized crystal structure of LaSn2Ge2, as listed in Alexandria.

As for the density of states at the Fermi level: 5.86 states/eV/cell. Its crystal system is tetragonal. The formation energy from the elements comes out at -283 meV/atom.

It has space group P4/mbm (No. 127), with a = 7.924 Å, b = 7.924 Å, c = 4.021 Å, α = 90.00°, β = 90.00° and γ = 90.00°. Symmetry generates all atoms from La at (0.000, 0.000, 0.000), Sn at (0.159, 0.341, 0.500) and Ge at (0.123, 0.623, 0.000).



[5]
First-principles (PBE) data for an optimized crystal structure of TbAl3Pt, as listed in Alexandria.

As for the density of states at the Fermi level: 4.07 states/eV/cell. Its crystal system is monoclinic. Its energy above the most stable polymorph in this dataset is 0.018 eV per atom. The formation energy from the elements comes out at -810 meV/atom.

It has space group P2_1/m (No. 11), with a = 6.827 Å, b = 4.198 Å, c = 6.875 Å, α = 90.00°, β = 105.20° and γ = 90.00°. Symmetry generates all atoms from Tb at (0.195, 0.250, 0.171), Al at (0.071, 0.250, 0.647), Al at (0.325, 0.750, 0.903), Al at (0.343, 0.750, 0.515) and Pt at (0.448, 0.250, 0.738).



[6]
First-principles (PBE) data for an optimized crystal structure of InFe2Cu, as listed in Alexandria.

As for the density of states at the Fermi level: 4.83 states/eV/cell. Its crystal system is orthorhombic. The formation energy from the elements comes out at 276 meV/atom.

It has space group Cmmm (No. 65), with a = 5.258 Å, b = 7.933 Å, c = 2.732 Å, α = 90.00°, β = 90.00° and γ = 90.00°. Symmetry generates all atoms from In at (0.000, 0.000, 0.000), Fe at (0.250, 0.250, 0.500) and Cu at (0.000, 0.500, 0.000).



[7]
First-principles (PBE) data for an optimized crystal structure of Pr5Sb4Cl, as listed in Alexandria.

As for the density of states at the Fermi level: 7.01 states/eV/cell. Its crystal system is orthorhombic. As for the energy relative to the elements, uncorrected: -1252 meV/atom.

It has space group Immm (No. 71), with a = 4.537 Å, b = 6.368 Å, c = 22.433 Å, α = 90.00°, β = 90.00° and γ = 90.00°. Symmetry generates all atoms from Pr at (0.000, 0.000, 0.000), Pr at (0.000, 0.000, 0.200), Pr at (0.000, 0.000, 0.397), Sb at (0.000, 0.500, 0.198), Sb at (0.000, 0.500, 0.402) and Cl at (0.000, 0.500, 0.000).



[8]
First-principles (PBE) data for an optimized crystal structure of Rb3Hg8, as listed in Alexandria.

As for the density of states at the Fermi level: 9.62 states/eV/cell. Its crystal system is orthorhombic. The formation energy from the elements comes out at -224 meV/atom.

It has space group Immm (No. 71), with a = 4.446 Å, b = 5.444 Å, c = 32.881 Å, α = 90.00°, β = 90.00° and γ = 90.00°. Symmetry generates all atoms from Rb at (0.000, 0.000, 0.000), Rb at (0.000, 0.500, 0.146), Hg at (0.000, 0.000, 0.258), Hg at (0.000, 0.000, 0.452), Hg at (0.000, 0.500, 0.309) and Hg at (0.000, 0.500, 0.405).